# 1
A geometry-optimized K2HgW structure, computed with GGA-PBE.

Computed properties:
Calculated volume: 26.3 Å³ per atom
Magnetization: 1.93 μB per formula unit
Calculated formation energy: 30.8 kcal/mol of atoms
Crystal system: orthorhombic
Final energy: -10.11 eV per formula unit

Cell lengths 4.259, 4.292, 11.495 Å; angles 90.00, 90.00, 90.00 degrees
Space group Immm (No. 71)
Inequivalent atoms, fractional coordinates:
K (0.000, 0.000, 0.250)
Hg (0.000, 0.500, 0.000)
W (0.000, 0.500, 0.500)


# 2
A geometry-optimized SrAu5 structure, computed with GGA-PBE.

Computed properties:
Calculated volume: 20.8 Å³ per atom
Magnetization: 0.00 μB per formula unit
Calculated formation energy: -5.7 kcal/mol of atoms
Crystal system: orthorhombic
Final energy: -19.55 eV per formula unit

Cell lengths 4.582, 13.246, 4.122 Å; angles 90.00, 90.00, 90.00 degrees
Space group Cmmm (No. 65)
Inequivalent atoms, fractional coordinates:
Sr (0.000, 0.000, 0.000)
Au (0.000, 0.182, 0.500)
Au (0.000, 0.335, 0.000)
Au (0.000, 0.500, 0.500)


# 3
A geometry-optimized Na2ReW structure, computed with GGA-PBE.

Computed properties:
Calculated volume: 17.5 Å³ per atom
Magnetization: 0.00 μB per formula unit
Calculated formation energy: 51.6 kcal/mol of atoms
Crystal system: cubic
Final energy: -19.09 eV per formula unit

Cell lengths 6.546, 6.546, 6.546 Å; angles 90.00, 90.00, 90.00 degrees
Space group Fm-3m (No. 225)
Inequivalent atoms, fractional coordinates:
Na (0.250, 0.250, 0.250)
Re (0.000, 0.000, 0.000)
W (0.000, 0.000, 0.500)


# 4
A geometry-optimized LaSiI structure, computed with GGA-PBE.

Computed properties:
Calculated volume: 33.0 Å³ per atom
Magnetization: 0.00 μB per formula unit
Crystal system: monoclinic
Final energy: -14.90 eV per formula unit

Cell lengths 24.604, 4.089, 3.984 Å; angles 90.00, 99.18, 90.00 degrees
Space group Cm (No. 8)
Inequivalent atoms, fractional coordinates:
La (0.000, 0.000, 0.000)
La (0.162, 0.000, 0.659)
Si (0.056, 0.500, 0.556)
Si (0.109, 0.500, 0.108)
I (0.262, 0.500, 0.763)
I (0.414, 0.000, 0.414)


# 5
A geometry-optimized Na4In4Au structure, computed with GGA-PBE.

Computed properties:
Calculated volume: 27.3 Å³ per atom
Magnetization: 0.00 μB per formula unit
Calculated formation energy: -3.7 kcal/mol of atoms
Crystal system: monoclinic
Final energy: -20.93 eV per formula unit

Cell lengths 15.255, 5.443, 6.543 Å; angles 90.00, 115.16, 90.00 degrees
Space group C2 (No. 5)
Inequivalent atoms, fractional coordinates:
Na (0.176, 0.000, 0.012)
Na (0.176, 0.519, 0.339)
In (0.082, 0.505, 0.734)
In (0.083, 0.016, 0.430)
Au (0.000, 0.259, 0.000)


# 6
A geometry-optimized SrCrPbSe2 structure, computed with GGA-PBE.

Computed properties:
Calculated volume: 28.8 Å³ per atom
Magnetization: 4.04 μB per formula unit
Crystal system: tetragonal
Final energy: -22.29 eV per formula unit

Cell lengths 4.974, 4.974, 5.820 Å; angles 90.00, 90.00, 90.00 degrees
Space group P4/mmm (No. 123)
Inequivalent atoms, fractional coordinates:
Sr (0.000, 0.000, 0.000)
Cr (0.000, 0.000, 0.500)
Pb (0.500, 0.500, 0.000)
Se (0.000, 0.500, 0.500)


Number 1: mass density 7.31 g/cm³. Number 2: mass density 14.24 g/cm³. Number 3: mass density 9.85 g/cm³. Number 4: mass density 4.93 g/cm³. Number 5: mass density 5.05 g/cm³. Number 6: mass density 5.82 g/cm³.